No. 1
LiLaZn after structural relaxation, computed with PBE.

Results
Symmetry ... No. 25
Size of the total moment ... 0.064 μB/atom
Formation energy ... 0.02 eV per atom
ΔE to the lowest computed polymorph ... 0.57 eV per formula unit
V ... 75 Å³/cell
Total energy ... -2.68 eV per atom

POSCAR file:
```
LiLaZn
1.0
3.269 0.000 0.000
0.000 5.468 0.000
0.000 0.000 4.178
Li La Zn
1 1 1
Cartesian
0.000 0.000 0.000
0.000 2.734 1.717
1.634 0.000 2.200
```



No. 2
LiLa4Zn2 after structural relaxation, computed with PBE.

Results
Symmetry ... No. 166
Size of the total moment ... 0.000 μB/atom
Formation energy ... -0.08 eV per atom
V ... 205 Å³/cell
Total energy ... -3.53 eV per atom

POSCAR file:
```
LiLa4Zn2
1.0
2.641 1.525 8.492
-2.641 1.525 8.492
0.000 -3.050 8.492
Li La Zn
1 4 2
Cartesian
0.000 0.000 0.000
0.000 0.000 3.391
0.000 0.000 9.777
0.000 0.000 15.700
0.000 0.000 22.086
0.000 0.000 6.558
0.000 0.000 18.919
```



No. 3
Li2La2Zn after structural relaxation, computed with PBE.

Results
Symmetry ... No. 127
Size of the total moment ... 0.000 μB/atom
Formation energy ... -0.01 eV per atom
ΔE to the lowest computed polymorph ... 0.00 eV per formula unit
V ... 246 Å³/cell
Total energy ... -3.00 eV per atom

POSCAR file:
```
Li2La2Zn
1.0
6.843 0.000 0.000
0.000 6.843 0.000
0.000 0.000 5.264
Li La Zn
4 4 2
Cartesian
0.934 2.488 0.000
2.488 5.909 0.000
4.355 0.934 0.000
5.909 4.355 0.000
1.214 4.635 2.632
2.208 1.214 2.632
4.635 5.629 2.632
5.629 2.208 2.632
0.000 0.000 0.000
3.421 3.421 0.000
```



No. 4
Li2LaZn after structural relaxation, computed with PBE.

Results
Symmetry ... No. 123
Size of the total moment ... 0.209 μB/atom
Formation energy ... 0.07 eV per atom
V ... 100 Å³/cell
Total energy ... -2.43 eV per atom

POSCAR file:
```
Li2LaZn
1.0
4.322 0.000 0.000
0.000 4.322 0.000
0.000 0.000 5.372
Li La Zn
2 1 1
Cartesian
0.000 2.161 0.000
2.161 0.000 0.000
0.000 0.000 2.686
2.161 2.161 2.686
```



No. 5
Li3La3Zn8 after structural relaxation, computed with PBE.

Results
Symmetry ... No. 71
Size of the total moment ... 0.000 μB/atom
Formation energy ... -0.28 eV per atom
V ... 288 Å³/cell
Total energy ... -2.48 eV per atom

POSCAR file:
```
Li3La3Zn8
1.0
-2.324 4.401 7.038
2.324 -4.401 7.038
2.324 4.401 -7.038
Li La Zn
3 3 8
Cartesian
0.000 0.000 0.000
2.324 1.715 0.000
0.000 2.686 7.038
2.324 0.000 2.995
0.000 4.401 0.000
0.000 4.401 4.043
2.324 -2.537 5.091
2.324 3.119 -2.253
0.000 1.864 1.947
0.000 1.282 4.786
2.324 3.119 2.253
2.324 2.537 5.091
0.000 1.282 9.291
0.000 6.938 1.947
```



No. 6
Li3LaZn9 after structural relaxation, computed with PBE.

Results
Symmetry ... No. 12
Size of the total moment ... 0.000 μB/atom
Formation energy ... -0.21 eV per atom
V ... 212 Å³/cell
Total energy ... -1.91 eV per atom

POSCAR file:
```
Li3LaZn9
1.0
2.456 -6.559 0.000
2.456 6.559 0.000
-2.320 0.000 6.573
Li La Zn
3 1 9
Cartesian
0.000 0.000 0.000
0.068 3.280 3.287
0.068 -3.280 3.287
-1.160 0.000 3.287
1.325 4.215 0.954
1.292 1.502 1.808
1.266 4.215 5.620
1.299 1.502 4.766
2.456 0.000 0.000
1.292 -1.502 1.808
1.325 -4.215 0.954
1.299 -1.502 4.766
1.266 -4.215 5.620
```



No. 7
LiLa4Zn5 after structural relaxation, computed with PBE.

Results
Symmetry ... No. 123
Size of the total moment ... 0.000 μB/atom
Formation energy ... -0.25 eV per atom
V ... 248 Å³/cell
Total energy ... -3.05 eV per atom

POSCAR file:
```
LiLa4Zn5
1.0
3.707 0.000 0.000
0.000 3.707 0.000
0.000 0.000 18.060
Li La Zn
1 4 5
Cartesian
0.000 0.000 0.000
0.000 0.000 3.338
0.000 0.000 7.113
0.000 0.000 10.947
0.000 0.000 14.722
1.853 1.853 1.338
1.853 1.853 5.230
1.853 1.853 9.030
1.853 1.853 12.830
1.853 1.853 16.722
```



No. 8
Li2LaZn2 after structural relaxation, computed with PBE.

Results
Symmetry ... No. 127
Size of the total moment ... 0.042 μB/atom
Formation energy ... -0.04 eV per atom
ΔE to the lowest computed polymorph ... 0.72 eV per formula unit
V ... 209 Å³/cell
Total energy ... -2.30 eV per atom

POSCAR file:
```
Li2LaZn2
1.0
7.968 0.000 0.000
0.000 7.968 0.000
0.000 0.000 3.292
Li La Zn
4 2 4
Cartesian
1.380 2.604 0.000
2.604 6.587 0.000
5.364 1.380 0.000
6.587 5.364 0.000
0.000 0.000 1.646
3.984 3.984 1.646
0.926 4.909 1.646
3.058 0.926 1.646
4.909 7.042 1.646
7.042 3.058 1.646
```



No. 9
LiLa4Zn after structural relaxation, computed with PBE.

Results
Symmetry ... No. 216
Size of the total moment ... 0.000 μB/atom
Formation energy ... 0.40 eV per atom
ΔE to the lowest computed polymorph ... 1.28 eV per formula unit
V ... 200 Å³/cell
Total energy ... -3.41 eV per atom

POSCAR file:
```
LiLa4Zn
1.0
0.000 4.641 4.641
4.641 0.000 4.641
4.641 4.641 0.000
Li La Zn
1 4 1
Cartesian
0.000 0.000 0.000
3.504 3.504 3.504
5.778 5.778 3.504
5.778 3.504 5.778
3.504 5.778 5.778
6.961 6.961 6.961
```



No. 10
LiLa5Zn4 after structural relaxation, computed with PBE.

Results
Symmetry ... No. 123
Size of the total moment ... 0.000 μB/atom
Formation energy ... -0.23 eV per atom
V ... 272 Å³/cell
Total energy ... -3.40 eV per atom

POSCAR file:
```
LiLa5Zn4
1.0
3.797 0.000 0.000
0.000 3.797 0.000
0.000 0.000 18.886
Li La Zn
1 5 4
Cartesian
0.000 0.000 0.000
1.898 1.898 2.108
1.898 1.898 5.710
1.898 1.898 9.443
1.898 1.898 13.176
1.898 1.898 16.777
0.000 0.000 3.847
0.000 0.000 7.572
0.000 0.000 11.314
0.000 0.000 15.038
```



No. 11
Li3LaZn8 after structural relaxation, computed with PBE.

Results
Symmetry ... No. 160
Size of the total moment ... 0.000 μB/atom
Formation energy ... -0.20 eV per atom
V ... 214 Å³/cell
Total energy ... -1.94 eV per atom

POSCAR file:
```
Li3LaZn8
1.0
2.632 1.520 8.898
-2.632 1.520 8.898
0.000 -3.040 8.898
Li La Zn
3 1 8
Cartesian
0.000 0.000 0.000
0.000 0.000 3.040
0.000 0.000 12.915
0.000 0.000 16.345
0.000 -1.508 5.657
-1.306 0.754 5.657
-1.301 -0.751 10.333
0.000 0.000 8.083
1.306 0.754 5.657
1.301 -0.751 10.333
0.000 1.502 10.333
0.000 0.000 21.336
```



No. 12
Li2LaZn after structural relaxation, computed with PBE.

Results
Symmetry ... No. 6
Size of the total moment ... 0.043 μB/atom
Formation energy ... -0.04 eV per atom
V ... 96 Å³/cell
Total energy ... -2.55 eV per atom

POSCAR file:
```
Li2LaZn
1.0
3.524 0.000 0.000
0.000 4.248 0.000
-1.725 0.000 6.416
Li La Zn
2 1 1
Cartesian
0.000 0.000 0.000
0.023 2.124 5.617
1.750 0.000 3.061
-0.008 2.124 1.531
```